[1]
First-principles (PBE) data for a relaxed structure of PaBeB3, as listed in the Alexandria database.

SG: No. 65
DFT formation energy, kJ/mol of atoms: 6.7
Fermi-level density of states, states/eV per atom: 0.6168
Spin magnetization, μB per cell: 0.00

Geometry as POSCAR:
```
PaBeB3
1.0
1.717 -8.848 0.000
1.717 8.848 0.000
0.000 0.000 3.673
Pa Be B
2 2 6
Direct
0.164 0.836 0.000
0.836 0.164 0.000
0.400 0.600 0.500
0.600 0.400 0.500
0.047 0.953 0.500
0.276 0.724 0.500
0.452 0.548 0.000
0.548 0.452 0.000
0.724 0.276 0.500
0.953 0.047 0.500
```

=====

[2]
First-principles (PBE) data for a relaxed structure of Ba5PbBr5, as listed in the Alexandria database.

SG: No. 12
Fermi-level density of states, states/eV per atom: 0.3855
E_form (uncorrected), eV per atom: -1.610
Spin magnetization, μB per cell: 0.00

Geometry as POSCAR:
```
Ba5PbBr5
1.0
7.667 -3.410 0.000
7.667 3.410 0.000
-3.086 0.000 9.227
Ba Pb Br
5 1 5
Direct
0.000 0.000 0.000
0.338 0.338 0.168
0.340 0.340 0.671
0.660 0.660 0.329
0.662 0.662 0.832
0.500 0.500 0.000
0.173 0.173 0.836
0.174 0.174 0.338
0.500 0.500 0.500
0.826 0.826 0.662
0.827 0.827 0.164
```

=====

[3]
First-principles (PBE) data for a relaxed structure of Li7GaPd3, as listed in the Alexandria database.

SG: No. 156
DFT formation energy, kJ/mol of atoms: -23.6
Fermi-level density of states, states/eV per atom: 0.4161
Spin magnetization, μB per cell: 0.00

Geometry as POSCAR:
```
Li7GaPd3
1.0
5.787 0.000 0.000
-2.893 5.012 0.000
0.000 0.000 6.218
Li Ga Pd
7 1 3
Direct
0.000 0.000 0.000
0.001 0.500 0.029
0.348 0.174 0.625
0.500 0.500 0.029
0.500 0.999 0.029
0.826 0.174 0.625
0.826 0.652 0.625
0.333 0.667 0.645
0.164 0.328 0.331
0.164 0.836 0.331
0.672 0.836 0.331
```

=====

[4]
First-principles (PBE) data for a relaxed structure of PrGaSbRh3, as listed in the Alexandria database.

SG: No. 63
Fermi-level density of states, states/eV per atom: 0.4565
E_form (uncorrected), eV per atom: -0.510
Spin magnetization, μB per cell: 0.00

Geometry as POSCAR:
```
PrGaSbRh3
1.0
2.904 -7.995 0.000
2.904 7.995 0.000
0.000 0.000 5.750
Pr Ga Sb Rh
2 2 2 6
Direct
0.214 0.786 0.750
0.786 0.214 0.250
0.094 0.906 0.250
0.906 0.094 0.750
0.408 0.592 0.250
0.592 0.408 0.750
0.237 0.237 0.000
0.237 0.237 0.500
0.248 0.752 0.250
0.752 0.248 0.750
0.763 0.763 0.000
0.763 0.763 0.500
```